DFT (GGA-PBE) results for crystalline NpCdTe2 at its relaxed geometry.

Unit cell a=4.2961 b=4.2961 c=10.0016 alpha=77.60 beta=77.60 gamma=60.00
Closest atoms and distances in Å follow each position.
Fractional coordinates of all 4 atoms:
Np 0.5000 0.5000 0.5000  6 Te 3.07
Te 0.1047 0.1047 0.6859  1 Cd 3.04, 3 Np 3.07
Te 0.8953 0.8953 0.3141  1 Cd 3.04, 3 Np 3.07
Cd 0.0000 0.0000 0.0000  2 Te 3.04

Output
The value obtained for the formation energy (no corrections) is -1.11 eV per formula unit. As for the space group: No. 166. The total energy comes out at -5.312 eV per atom. As for the excess energy over the best structure of this formula in the dataset: 88 meV/atom.

---

DFT (GGA-PBE) results for crystalline Cs4Rb2AlSn2 at its relaxed geometry.

Unit cell a=7.3126 b=9.2220 c=9.2220 alpha=57.07 beta=73.45 gamma=73.45
Closest atoms and distances in Å follow each position.
Fractional coordinates of all 9 atoms:
Cs 0.2254 0.6404 0.1024  1 Al 3.90, 1 Cs 4.07, 3 Sn 4.13-4.22, 2 Rb 4.16-4.26
Cs 0.7746 0.8976 0.3596  1 Al 3.90, 1 Cs 4.07, 3 Sn 4.13-4.22, 2 Rb 4.16-4.26
Cs 0.7746 0.3596 0.8976  1 Al 3.90, 1 Cs 4.07, 3 Sn 4.13-4.22, 2 Rb 4.16-4.26
Cs 0.2254 0.1024 0.6404  1 Al 3.90, 1 Cs 4.07, 3 Sn 4.13-4.22, 2 Rb 4.16-4.26
Rb 0.2348 0.6392 0.6392  3 Sn 3.99-4.42, 4 Cs 4.16-4.26
Rb 0.7652 0.3608 0.3608  3 Sn 3.99-4.42, 4 Cs 4.16-4.26
Al 0.5000 0.0000 0.0000  2 Sn 2.62
Sn 0.2537 0.1589 0.1589  1 Al 2.62
Sn 0.7463 0.8411 0.8411  1 Al 2.62

Output
Its formation energy is -0.22 eV/f.u. As for the space group: No. 12. The total energy comes out at -1.924 eV per atom.

---

DFT (GGA-PBE) results for crystalline MgAl3Ga3 at its relaxed geometry.

Unit cell a=7.1492 b=7.1492 c=7.2727 alpha=60.56 beta=60.56 gamma=60.00
Closest atoms and distances in Å follow each position.
Fractional coordinates of all 14 atoms:
Mg 0.3510 0.3510 0.9470  3 Ga 2.79, 3 Al 3.03
Mg 0.6490 0.6490 0.0530  3 Ga 2.79, 3 Al 3.03
Al 0.5733 0.7418 0.6361  4 Ga 2.67-2.85, 2 Al 2.98
Al 0.7418 0.0487 0.6361  4 Ga 2.67-2.85, 2 Al 2.98
Al 0.0487 0.5733 0.6361  4 Ga 2.67-2.85, 2 Al 2.98
Al 0.9513 0.4267 0.3639  4 Ga 2.67-2.85, 2 Al 2.98
Al 0.2582 0.9513 0.3639  4 Ga 2.67-2.85, 2 Al 2.98
Al 0.4267 0.2582 0.3639  4 Ga 2.67-2.85, 2 Al 2.98
Ga 0.1858 0.7214 0.1901  4 Al 2.67-2.85, 1 Mg 2.79, 4 Ga 2.83-2.90
Ga 0.9027 0.1858 0.1901  4 Al 2.67-2.85, 1 Mg 2.79, 4 Ga 2.83-2.90
Ga 0.7214 0.9027 0.1901  4 Al 2.67-2.85, 1 Mg 2.79, 4 Ga 2.83-2.90
Ga 0.2786 0.0973 0.8099  4 Al 2.67-2.85, 1 Mg 2.79, 4 Ga 2.83-2.90
Ga 0.0973 0.8142 0.8099  4 Al 2.67-2.85, 1 Mg 2.79, 4 Ga 2.83-2.90
Ga 0.8142 0.2786 0.8099  4 Al 2.67-2.85, 1 Mg 2.79, 4 Ga 2.83-2.90

Output
Its formation energy is 0.35 eV/f.u. As for the space group: No. 148. The total energy comes out at -3.079 eV per atom. As for the excess energy over the best structure of this formula in the dataset: 0 meV/atom.

---

DFT (GGA-PBE) results for crystalline Ta2SiAg at its relaxed geometry.

Unit cell a=3.4674 b=3.4664 c=5.7579 alpha=90.00 beta=90.00 gamma=90.00
Closest atoms and distances in Å follow each position.
Fractional coordinates of all 4 atoms:
Ag 0.0000 0.0000 0.5101  6 Ta 2.80-2.95, 4 Si 2.84
Si 0.5000 0.5000 0.7606  5 Ta 2.72-2.80, 4 Ag 2.84
Ta 0.0000 0.0000 0.9970  4 Ta 2.80, 2 Ag 2.80-2.95, 4 Si 2.80
Ta 0.5000 0.5000 0.2322  1 Si 2.72, 4 Ta 2.80, 4 Ag 2.93

Output
The value obtained for the formation energy (no corrections) is 0.58 eV per formula unit. As for the space group: No. 99. The total energy comes out at -7.849 eV per atom.